No. 1
Compound: Tl6Ag
Source: Alexandria
Functional: PBE
Structure: optimized geometry

a b c (Å): 8.554 8.554 8.554
angles (deg): 90.00 90.00 90.00
Positions (direct):
Tl: 0.000 0.250 0.500
Tl: 0.000 0.500 0.250
Tl: 0.000 0.500 0.750
Tl: 0.000 0.750 0.500
Tl: 0.250 0.000 0.500
Tl: 0.250 0.500 0.000
Tl: 0.500 0.000 0.250
Tl: 0.500 0.000 0.750
Tl: 0.500 0.250 0.000
Tl: 0.500 0.750 0.000
Tl: 0.750 0.000 0.500
Tl: 0.750 0.500 0.000
Ag: 0.000 0.000 0.000
Ag: 0.500 0.500 0.500

Properties
Space-group type = Im-3m, No. 229
Energy above the most stable polymorph in this dataset = 3.06 eV per formula unit
Calculated formation energy = 13.32 kcal/mol of atoms
VASP energy = -1.8577 eV/atom

No. 2
Compound: Tl5Ag
Source: Alexandria
Functional: PBE
Structure: optimized geometry

a b c (Å): 4.787 15.012 4.720
angles (deg): 90.00 90.00 90.00
Positions (direct):
Tl: 0.000 0.000 0.000
Tl: 0.000 0.160 0.500
Tl: 0.000 0.341 0.000
Tl: 0.000 0.659 0.000
Tl: 0.000 0.840 0.500
Tl: 0.500 0.159 0.000
Tl: 0.500 0.340 0.500
Tl: 0.500 0.500 0.000
Tl: 0.500 0.660 0.500
Tl: 0.500 0.841 0.000
Ag: 0.000 0.500 0.500
Ag: 0.500 0.000 0.500

Properties
Space-group type = Cmmm, No. 65
Energy above the most stable polymorph in this dataset = 0.11 eV per formula unit
Calculated formation energy = 1.96 kcal/mol of atoms
VASP energy = -2.3621 eV/atom

No. 3
Compound: TlAg2
Source: Alexandria
Functional: PBE
Structure: optimized geometry

a b c (Å): 3.652 3.652 9.520
angles (deg): 90.00 90.00 90.00
Positions (direct):
Tl: 0.000 0.000 0.000
Tl: 0.500 0.500 0.500
Ag: 0.000 0.000 0.322
Ag: 0.000 0.000 0.678
Ag: 0.500 0.500 0.178
Ag: 0.500 0.500 0.822

Properties
Space-group type = I4/mmm, No. 139
Energy above the most stable polymorph in this dataset = 0.05 eV per formula unit
Calculated formation energy = 2.44 kcal/mol of atoms
VASP energy = -2.5838 eV/atom

No. 4
Compound: TlAg2
Source: Alexandria
Functional: PBE
Structure: optimized geometry

a b c (Å): 11.098 3.186 7.449
angles (deg): 90.00 94.09 90.00
Positions (direct):
Tl: 0.000 0.000 0.000
Tl: 0.249 0.000 0.676
Tl: 0.500 0.500 0.000
Tl: 0.749 0.500 0.676
Ag: 0.014 0.500 0.657
Ag: 0.128 0.500 0.326
Ag: 0.271 0.000 0.096
Ag: 0.399 0.500 0.373
Ag: 0.514 0.000 0.657
Ag: 0.628 0.000 0.326
Ag: 0.771 0.500 0.096
Ag: 0.899 0.000 0.373

Properties
Space-group type = Cm, No. 8
Energy above the most stable polymorph in this dataset = 0.10 eV per formula unit
Calculated formation energy = 2.77 kcal/mol of atoms
VASP energy = -2.5696 eV/atom

No. 5
Compound: Tl3Ag
Source: Alexandria
Functional: PBE
Structure: optimized geometry

a b c (Å): 3.485 3.485 10.377
angles (deg): 90.00 90.00 120.00
Positions (direct):
Tl: 0.000 0.000 0.000
Tl: 0.667 0.333 0.276
Tl: 0.667 0.333 0.724
Ag: 0.000 0.000 0.500

Properties
Space-group type = P-6m2, No. 187
Energy above the most stable polymorph in this dataset = 0.11 eV per formula unit
Calculated formation energy = 2.28 kcal/mol of atoms
VASP energy = -2.3885 eV/atom

No. 6
Compound: Tl3Ag
Source: Alexandria
Functional: PBE
Structure: optimized geometry

a b c (Å): 6.963 6.963 10.427
angles (deg): 90.00 90.00 120.00
Positions (direct):
Tl: 0.000 0.500 0.000
Tl: 0.000 0.500 0.500
Tl: 0.160 0.319 0.250
Tl: 0.160 0.840 0.250
Tl: 0.319 0.160 0.750
Tl: 0.500 0.000 0.000
Tl: 0.500 0.000 0.500
Tl: 0.500 0.500 0.000
Tl: 0.500 0.500 0.500
Tl: 0.681 0.840 0.250
Tl: 0.840 0.160 0.750
Tl: 0.840 0.681 0.750
Ag: 0.000 0.000 0.000
Ag: 0.000 0.000 0.500
Ag: 0.333 0.667 0.750
Ag: 0.667 0.333 0.250

Properties
Space-group type = P6_3/mmc, No. 194
Energy above the most stable polymorph in this dataset = 0.21 eV per formula unit
Calculated formation energy = 2.82 kcal/mol of atoms
VASP energy = -2.3651 eV/atom

No. 7
Compound: TlAg2
Source: Alexandria
Functional: PBE
Structure: optimized geometry

a b c (Å): 3.965 3.965 4.601
angles (deg): 90.00 90.00 90.00
Positions (direct):
Tl: 0.000 0.000 0.000
Ag: 0.000 0.500 0.500
Ag: 0.500 0.000 0.500

Properties
Space-group type = P4/mmm, No. 123
Energy above the most stable polymorph in this dataset = 0.39 eV per formula unit
Calculated formation energy = 5.05 kcal/mol of atoms
VASP energy = -2.4707 eV/atom

No. 8
Compound: Tl2Ag
Source: Alexandria
Functional: PBE
Structure: optimized geometry

a b c (Å): 7.873 4.301 9.425
angles (deg): 90.00 90.00 90.00
Positions (direct):
Tl: 0.031 0.250 0.168
Tl: 0.146 0.250 0.567
Tl: 0.354 0.750 0.067
Tl: 0.469 0.750 0.668
Tl: 0.531 0.250 0.332
Tl: 0.646 0.250 0.933
Tl: 0.854 0.750 0.433
Tl: 0.969 0.750 0.832
Ag: 0.244 0.750 0.367
Ag: 0.256 0.250 0.867
Ag: 0.744 0.750 0.133
Ag: 0.756 0.250 0.633

Properties
Space-group type = Pnma, No. 62
Calculated formation energy = 2.24 kcal/mol of atoms
VASP energy = -2.4309 eV/atom

Question: Which formula does entry 4 have?
Answer: TlAg2